Entry 1:
The following is a meta-GGA SCAN calculation of Na3SiBSbO7 at its PBEsol-relaxed geometry, from Alexandria via LeMat-Bulk.

The total energy is -0.3951 Ha/atom. The symmetry is P2_1/m (11). The value obtained for the calculated volume is 12.554 Å³ per atom.

Structure (extended XYZ):
```
26
Lattice="-3.2739 3.1456 2.6899 -3.5392 1.1495 -5.6518 -5.3167 -7.1973 1.8655" Properties=species:S:1:pos:R:3 pbc="T T T"
O -4.7645 2.3167 1.4293
O -3.4335 0.7699 0.2812
Na -5.6664 0.1510 -4.4473
O -8.0589 -4.1051 2.1862
O -7.3652 -5.2190 -2.5257
Si -7.2064 0.0995 -1.5434
Sb -6.8547 -3.1763 -2.4299
Na -8.1669 -2.5000 0.6303
O -8.5021 -0.6712 -0.8888
O -7.6351 1.3232 -2.5610
Na -6.4633 -3.0533 3.3509
O -4.0708 1.2028 -3.2826
O -8.6962 -3.6721 -1.3776
O -3.6277 -2.2311 -0.2076
Na -3.9628 -0.4023 -1.7267
Na -5.5466 2.7410 -2.0455
O -5.8401 -1.8907 1.2471
Sb -5.2750 0.2741 1.3335
Si -4.9233 -3.0017 0.4470
O -6.2941 0.8876 -0.4195
O -6.2896 -1.0115 -2.3435
O -4.4946 -4.2254 1.4646
B -8.5347 -5.0226 -1.7534
O -5.8356 -3.7899 -0.6768
Na -6.5831 -5.6433 0.9491
B -3.5950 2.1204 0.6570
```


Entry 2:
The following is a meta-GGA SCAN calculation of InGe3Os at its PBEsol-relaxed geometry, from Alexandria via LeMat-Bulk.

The total energy is -1.1805 Ha/atom. For the energy of formation, the calculation gives 382 meV per atom. The symmetry is Pm-3m (221). The value obtained for the calculated volume is 21.967 Å³ per atom.

Structure (extended XYZ):
```
5
Lattice="4.7890 0.0000 0.0000 0.0000 4.7890 0.0000 0.0000 0.0000 4.7890" Properties=species:S:1:pos:R:3 pbc="T T T"
Ge 0.0000 0.0000 2.3945
Os 0.0000 0.0000 0.0000
Ge 0.0000 2.3945 0.0000
Ge 2.3945 0.0000 0.0000
In 2.3945 2.3945 2.3945
```


Entry 3:
The following is a meta-GGA SCAN calculation of ZrSc2Ga at its PBEsol-relaxed geometry, from Alexandria via LeMat-Bulk.

The total energy is -0.6883 Ha/atom. For the energy of formation, the calculation gives 151 meV per atom. The symmetry is R-3m (166). The value obtained for the calculated volume is 22.772 Å³ per atom.

Structure (extended XYZ):
```
4
Lattice="3.1485 0.0000 0.0000 1.5742 2.7267 0.0000 1.5742 0.9089 10.6103" Properties=species:S:1:pos:R:3 pbc="T T T"
Sc 1.5742 0.9089 7.8045
Zr 3.1485 1.8178 5.3051
Ga 0.0000 0.0000 0.0000
Sc 4.7227 2.7267 2.8058
```


Entry 4:
The following is a meta-GGA SCAN calculation of CdSi2Ge2 at its PBEsol-relaxed geometry, from Alexandria via LeMat-Bulk.

The total energy is -0.6385 Ha/atom. The symmetry is I4/mmm (139). The value obtained for the calculated volume is 19.021 Å³ per atom.

Structure (extended XYZ):
```
5
Lattice="4.6254 0.0000 0.0000 0.0000 4.6254 0.0000 -2.3127 -2.3127 4.4454" Properties=species:S:1:pos:R:3 pbc="T T T"
Si 2.3127 2.3127 1.1733
Si 0.0000 0.0000 3.2721
Ge 0.0000 2.3127 2.2227
Ge 2.3127 0.0000 2.2227
Cd 0.0000 0.0000 0.0000
```